# 1
DFT (GGA-PBE) results for a relaxed PmSmAlGe crystal.

Its energy relative to the elements is -0.44 eV per atom. The energy above the lowest structure with this stoichiometry is 233 meV per atom. The space-group type is F-43m.

a = 5.208 Å, b = 5.208 Å, c = 5.208 Å
α = 60.00°, β = 60.00°, γ = 60.00°
Sites, in units of the cell vectors:
Ge 0.500 0.500 0.500
Al 0.000 0.000 0.000
Sm 0.250 0.250 0.250
Pm 0.750 0.750 0.750

# 2
DFT (GGA-PBE) results for a relaxed MnTe2W crystal.

The energy above the lowest structure with this stoichiometry is 0 meV per atom. Its formation energy (no corrections) is 0.3 eV per formula unit. The space-group type is Pm.

a = 3.789 Å, b = 3.784 Å, c = 7.258 Å
α = 90.14°, β = 90.00°, γ = 90.00°
Sites, in units of the cell vectors:
Mn 0.500 0.875 0.625
Te 0.000 0.876 0.893
Te 0.500 0.374 0.357
W 0.000 0.375 0.625

# 3
DFT (GGA-PBE) results for a relaxed Nd3Dy2Pd2 crystal.

Its energy relative to the elements is -0.46 eV per atom. The space-group type is C2/m.

a = 3.850 Å, b = 6.484 Å, c = 8.913 Å
α = 101.77°, β = 102.47°, γ = 107.25°
Sites, in units of the cell vectors:
Nd 0.500 0.000 0.000
Nd 0.174 0.790 0.560
Nd 0.826 0.210 0.440
Dy 0.651 0.490 0.811
Dy 0.349 0.510 0.189
Pd 0.047 0.875 0.219
Pd 0.953 0.125 0.781

# 4
DFT (GGA-PBE) results for a relaxed InCoSe crystal.

The energy above the lowest structure with this stoichiometry is 127 meV per atom. Its formation energy (no corrections) is -0.1 eV per formula unit. The space-group type is P3m1.

a = 3.447 Å, b = 3.447 Å, c = 5.576 Å
α = 90.00°, β = 90.00°, γ = 120.00°
Sites, in units of the cell vectors:
Co 0.000 0.000 0.958
In 0.333 0.667 0.292
Se 0.667 0.333 0.750

# 5
DFT (GGA-PBE) results for a relaxed Co2AsW crystal.

Its energy relative to the elements is 0.19 eV per atom. The space-group type is P4/mmm.

a = 3.729 Å, b = 3.725 Å, c = 3.680 Å
α = 90.00°, β = 90.00°, γ = 90.00°
Sites, in units of the cell vectors:
As 0.000 0.500 0.500
Co 0.000 0.000 0.000
Co 0.500 0.500 0.000
W 0.500 0.000 0.500

# 6
DFT (GGA-PBE) results for a relaxed TaCdGa crystal.

Its energy relative to the elements is 0.22 eV per atom. The space-group type is Fmmm.

a = 5.408 Å, b = 5.549 Å, c = 5.918 Å
α = 77.14°, β = 62.81°, γ = 60.84°
Sites, in units of the cell vectors:
Ta 0.750 0.500 0.500
Ta 0.250 0.500 0.500
Cd 0.785 0.431 0.000
Cd 0.215 0.569 0.000
Ga 0.751 0.000 0.497
Ga 0.249 0.000 0.503

Table of magnetic moment (μB per formula unit), in record order: 0.00, 2.11, 0.00, 0.00, 0.00, 0.00
Table of theoretical density (Mg/m³), in record order: 6.566, 7.882, 8.111, 7.312, 12.235, 8.741